[1]
NdHo2Cd8 | PBE-GGA | optimized geometry

abc: 8.9592 8.9592 5.3409
angles: 106.91 106.91 125.44
With the nearest neighbours (Å) after each atom.
Sites, in units of the cell vectors:
Nd (0.0000, 0.0000, 0.0000)  6 Cd 3.23-3.45
Ho (0.3107, 0.6893, 0.5000)  12 Cd 3.18-3.30
Ho (0.6893, 0.3107, 0.5000)  12 Cd 3.18-3.30
Cd (0.1015, 0.3633, 0.7390)  5 Cd 2.95-3.20, 3 Ho 3.22-3.30
Cd (0.2026, 0.7974, 0.0000)  6 Cd 3.15-3.31, 4 Ho 3.18, 1 Nd 3.23
Cd (0.3633, 0.1015, 0.7390)  5 Cd 2.95-3.20, 3 Ho 3.22-3.30
Cd (0.4935, 0.4935, 0.7417)  2 Cd 2.65-2.69
Cd (0.5065, 0.5065, 0.2583)  2 Cd 2.65-2.69
Cd (0.6367, 0.8985, 0.2610)  5 Cd 2.95-3.20, 3 Ho 3.22-3.30
Cd (0.7974, 0.2026, 0.0000)  6 Cd 3.15-3.31, 4 Ho 3.18, 1 Nd 3.23
Cd (0.8985, 0.6367, 0.2610)  5 Cd 2.95-3.20, 3 Ho 3.22-3.30

Summary:
total moment = 0.00 μB/cell
symmetry = C2/m, No. 12
energy relative to the elements = -257 meV/atom

[2]
NbBiIr3 | PBE-GGA | optimized geometry

abc: 4.8293 4.8293 4.8293
angles: 90.00 90.00 90.00
With the nearest neighbours (Å) after each atom.
Sites, in units of the cell vectors:
Nb (0.0000, 0.0000, 0.0000)  6 Ir 2.41
Bi (0.5000, 0.5000, 0.5000)  12 Ir 3.41
Ir (0.0000, 0.0000, 0.5000)  2 Nb 2.41
Ir (0.0000, 0.5000, 0.0000)  2 Nb 2.41
Ir (0.5000, 0.0000, 0.0000)  2 Nb 2.41

Summary:
total moment = 0.00 μB/cell
symmetry = Pm-3m, No. 221
energy relative to the elements = 1195 meV/atom
ΔE to the lowest computed polymorph = 0 meV per atom

[3]
Au4Se3 | PBE-GGA | optimized geometry

abc: 11.6761 11.6761 11.6761
angles: 161.59 161.59 26.15
With the nearest neighbours (Å) after each atom.
Sites, in units of the cell vectors:
Au (0.0584, 0.0584, 0.0000)  1 Se 2.54, 1 Au 2.66
Au (0.3217, 0.3217, 0.0000)  4 Se 2.65
Au (0.6783, 0.6783, 0.0000)  4 Se 2.65
Au (0.9416, 0.9416, 0.0000)  1 Se 2.54, 1 Au 2.66
Se (0.1699, 0.1699, 0.0000)  5 Au 2.54-2.65
Se (0.5000, 0.5000, 0.0000)  8 Au 2.96
Se (0.8301, 0.8301, 0.0000)  5 Au 2.54-2.65

Summary:
total moment = 0.00 μB/cell
symmetry = I4/mmm, No. 139
ΔE to the lowest computed polymorph = 0 meV per atom
energy relative to the elements, uncorrected = 0.181 eV/atom